(1)
Below is a relaxed HfZn2 crystal, with properties calculated at the GGA-PBE level.

## Properties
Energy of formation: -0.0095 eV/atom
Energy: -12.5 eV/f.u.

a b c (Å): 7.934 7.934 7.934
angles (deg): 152.50 152.50 39.28
Fractional coordinates of all 6 atoms:
Hf 0.375 0.625 0.750
Hf 0.625 0.375 0.250
Zn 0.046 0.796 0.250
Zn 0.204 0.954 0.250
Zn 0.796 0.046 0.750
Zn 0.954 0.204 0.750

---

(2)
Below is a relaxed HfZn12 crystal, with properties calculated at the GGA-PBE level.

## Properties
Energy of formation: -0.0655 eV/atom
Energy: -26.1 eV/f.u.

a b c (Å): 6.676 6.676 6.676
angles (deg): 98.75 98.75 134.10
Fractional coordinates of all 13 atoms:
Hf 0.000 0.000 0.000
Zn 0.000 0.000 0.500
Zn 0.000 0.350 0.350
Zn 0.000 0.500 0.000
Zn 0.000 0.650 0.650
Zn 0.290 0.500 0.790
Zn 0.350 0.000 0.350
Zn 0.500 0.000 0.000
Zn 0.500 0.290 0.790
Zn 0.500 0.500 0.500
Zn 0.500 0.710 0.210
Zn 0.650 0.000 0.650
Zn 0.710 0.500 0.210

---

(3)
Below is a relaxed HfZn2 crystal, with properties calculated at the GGA-PBE level.

## Properties
Energy of formation: -0.2060 eV/atom
Energy: -13.1 eV/f.u.

a b c (Å): 5.232 5.232 8.367
angles (deg): 90.00 90.00 120.00
Fractional coordinates of all 12 atoms:
Hf 0.333 0.667 0.065
Hf 0.333 0.667 0.435
Hf 0.667 0.333 0.565
Hf 0.667 0.333 0.935
Zn 0.000 0.000 0.000
Zn 0.000 0.000 0.500
Zn 0.172 0.344 0.750
Zn 0.172 0.828 0.750
Zn 0.344 0.172 0.250
Zn 0.656 0.828 0.750
Zn 0.828 0.172 0.250
Zn 0.828 0.656 0.250

---

no.,M_tot (μB/f.u.)
1,0.00
2,0.00
3,0.71